1.
Density functional theory data (GGA-PBE) for a relaxed Fe3PtN crystal.

The energy is -29.494 eV/cell. The energy above the most stable polymorph in this dataset comes out at 10.10 eV per formula unit. Its density of states at the Fermi level is 7.44 states/eV/f.u. For the volume, the calculation gives 20.56 Å³ per atom. For the formation energy from raw total energies, the calculation gives 2.0521 eV per atom.

The space group is Pm-3m (No. 221) and the conventional cell measures 4.685, 4.685 and 4.685 Å, with angles of 90.00, 90.00 and 90.00 degrees. Symmetry generates all atoms from Fe at (0.000, 0.000, 0.500), Pt at (0.000, 0.000, 0.000) and N at (0.500, 0.500, 0.500).

2.
Density functional theory data (GGA-PBE) for a relaxed SbOsAu3 crystal.

The energy is -17.076 eV/cell. The energy above the most stable polymorph in this dataset comes out at 2.13 eV per formula unit. Its density of states at the Fermi level is 8.73 states/eV/f.u. For the volume, the calculation gives 27.02 Å³ per atom. For the formation energy from raw total energies, the calculation gives 1.6217 eV per atom.

The space group is Pm-3m (No. 221) and the conventional cell measures 5.131, 5.131 and 5.131 Å, with angles of 90.00, 90.00 and 90.00 degrees. Symmetry generates all atoms from Sb at (0.000, 0.000, 0.000), Os at (0.500, 0.500, 0.500) and Au at (0.000, 0.000, 0.500).

Density? In order: 6.1; 11.1 Mg/m³.